[1]
The following is a PBE calculation of crystalline Sc2ZnOs at its relaxed geometry, from OQMD via LeMat-Bulk.

a = 4.108 Å, b = 4.108 Å, c = 11.504 Å
α = 90.00°, β = 90.00°, γ = 120.00°
Sites, in units of the cell vectors:
Os1 0.000 0.000 0.000
Sc1 0.667 0.333 0.402
Sc2 0.333 0.667 0.598
Zn1 0.333 0.667 0.250
Os2 0.000 0.000 0.500
Zn2 0.667 0.333 0.750
Sc3 0.667 0.333 0.098
Sc4 0.333 0.667 0.902

Properties
Excess energy over the best structure of this formula in the dataset, meV/atom: 570
Symmetry: No. 194

[2]
The following is a PBE calculation of crystalline Sc2ZnOs at its relaxed geometry, from OQMD via LeMat-Bulk.

a = 4.642 Å, b = 4.642 Å, c = 7.944 Å
α = 90.00°, β = 90.00°, γ = 120.00°
Sites, in units of the cell vectors:
Sc1 0.667 0.333 0.583
Sc2 0.333 0.667 0.417
Os1 0.333 0.667 0.750
Os2 0.667 0.333 0.250
Sc3 0.667 0.333 0.917
Zn1 0.000 0.000 0.250
Zn2 0.000 0.000 0.750
Sc4 0.333 0.667 0.083

Properties
Excess energy over the best structure of this formula in the dataset, meV/atom: 254
Symmetry: No. 194

Number 1: magnetic moment 0.0 μB per formula unit, total energy -6.18 eV per atom, density 6.827 g cm⁻³. Number 2: magnetic moment 0.0 μB per formula unit, total energy -6.50 eV per atom, density 7.742 g cm⁻³.